Entry 1:
Here is a relaxed TaOs2Rh crystal from Alexandria via LeMat-Bulk. Energies are from PBE.

Cell lengths 3.8987, 3.8987, 3.9597 Å; angles 90.00, 90.00, 90.00 degrees
Last column: nearest neighbours and their distance in Å.
Positions (direct):
1 Ta 0.0000 0.0000 0.0000  4 Rh 2.76, 8 Os 2.78
2 Os 0.0000 0.5000 0.5000  4 Os 2.76, 4 Ta 2.78, 4 Rh 2.78
3 Os 0.5000 0.0000 0.5000  4 Os 2.76, 4 Ta 2.78, 4 Rh 2.78
4 Rh 0.5000 0.5000 0.0000  4 Ta 2.76, 8 Os 2.78

Calculated values
Polymorph energy (0 for the lowest one) in eV per atom: 0.000
Space group: P4/mmm (123)
Crystal system: tetragonal

Entry 2:
Here is a relaxed Ta2OsRh crystal from Alexandria via LeMat-Bulk. Energies are from PBE.

Cell lengths 2.9557, 4.5570, 4.8685 Å; angles 90.00, 95.10, 90.00 degrees
Last column: nearest neighbours and their distance in Å.
Positions (direct):
1 Ta 0.0000 0.0000 0.0000  3 Rh 2.70-2.76, 4 Os 2.74-2.75, 2 Ta 2.96
2 Ta 0.1063 0.5000 0.5791  3 Os 2.63-2.85, 4 Rh 2.76-2.77
3 Os 0.5166 0.5000 0.0818  7 Ta 2.63-2.85
4 Rh 0.5899 0.0000 0.4728  7 Ta 2.70-2.77, 2 Rh 2.96, 2 Os 2.96

Calculated values
Space group: Pm (6)
Crystal system: monoclinic

Entry 3:
Here is a relaxed Ta2OsRh crystal from Alexandria via LeMat-Bulk. Energies are from PBE.

Cell lengths 5.7381, 5.7381, 5.7381 Å; angles 151.66, 128.74, 59.61 degrees
Last column: nearest neighbours and their distance in Å.
Positions (direct):
1 Ta 0.2504 0.2504 0.0000  1 Rh 2.49, 1 Os 2.49
2 Ta 0.7496 0.7496 0.0000  1 Rh 2.49, 1 Os 2.49
3 Os 0.0000 0.0000 0.0000  2 Ta 2.49
4 Rh 0.5000 0.5000 0.0000  2 Ta 2.49

Calculated values
Space group: Immm (71)
Crystal system: orthorhombic

Entry 4:
Here is a relaxed TaOsRh2 crystal from Alexandria via LeMat-Bulk. Energies are from PBE.

Cell lengths 2.7770, 2.7770, 7.8696 Å; angles 90.00, 90.00, 90.00 degrees
Last column: nearest neighbours and their distance in Å.
Positions (direct):
1 Ta 0.0000 0.0000 0.0000  4 Rh 2.76, 4 Ta 2.78, 4 Os 2.89
2 Os 0.5000 0.5000 0.2696  4 Rh 2.66, 4 Os 2.78, 4 Ta 2.89
3 Rh 0.0000 0.0000 0.4981  4 Os 2.66, 8 Rh 2.78-2.81
4 Rh 0.5000 0.5000 0.7535  4 Ta 2.76, 8 Rh 2.78-2.81

Calculated values
Polymorph energy (0 for the lowest one) in eV per atom: 0.283
Space group: P4mm (99)
Crystal system: tetragonal

| no. | formation energy from the elements (meV/atom) |
| --- | --- |
| 1 | -284 |
| 2 | -346 |
| 3 | 578 |
| 4 | -144 |